Entry from the Alexandria database: SrCu2Pd2 after structural relaxation (PBE-GGA).

The relative energy among the computed polymorphs is 15 meV/atom. Its total energy is -21.5 eV per formula unit. The value obtained for the density is 7.4 g cm⁻³.

The structure belongs to space group I4/mmm (No. 139); the cell edges are 4.278, 4.278 and 21.007 Å and the angles 90.00°, 90.00° and 90.00°. The asymmetric unit holds Sr at (0.000, 0.000, 0.123), Cu at (0.000, 0.000, 0.434), Cu at (0.000, 0.500, 0.250), Pd at (0.000, 0.000, 0.316) and Pd at (0.000, 0.500, 0.000).